No. 1
Tl4GeCl6: optimized geometry, PBE.

a b c (Å): 14.8088 6.7971 15.8157
angles (deg): 90.00 100.04 90.00
Space group Cc (No. 9)
Unique sites:
Tl1 0.0000 0.2079 0.0000
Tl2 0.1797 0.2360 0.7733
Tl3 0.1798 0.2561 0.4792
Tl4 0.3451 0.2533 0.1499
Ge1 0.0185 0.2560 0.2195
Cl1 0.0394 0.1803 0.5929
Cl2 0.1914 0.2575 0.2709
Cl3 0.1951 0.2317 0.9840
Cl4 0.3282 0.2546 0.6396
Cl5 0.4922 0.4855 0.8170
Cl6 0.4935 0.0127 0.3101

VASP energy in eV/atom: -3.233

No. 2
Dy2GaAs: optimized geometry, PBE.

a b c (Å): 4.2091 22.8543 4.0900
angles (deg): 90.00 90.00 90.00
Space group Cmcm (No. 63)
Unique sites:
Dy1 0.0000 0.0657 0.2500
Dy2 0.0000 0.3141 0.2500
Ga1 0.0000 0.4632 0.2500
As1 0.0000 0.1885 0.2500

Formation energy from the elements in eV per atom: -1.07
Distance to the lowest polymorph of the same formula in meV per atom: 0

No. 3
Th6HgAu2: optimized geometry, PBE.

a b c (Å): 12.4972 5.5178 9.7853
angles (deg): 90.00 128.81 90.00
Space group C2/m (No. 12)
Unique sites:
Th1 0.0473 0.0000 0.3667
Th2 0.1728 0.5000 0.6793
Th3 0.1742 0.5000 0.0401
Hg1 0.0000 0.0000 0.0000
Au1 0.1255 0.5000 0.3181

Formation energy from the elements in eV per atom: -0.25

No. 4
Pm2Pr3Hg: optimized geometry, PBE.

a b c (Å): 6.2858 10.9241 11.7142
angles (deg): 90.00 100.48 90.00
Space group C2/m (No. 12)
Unique sites:
Pm1 0.0000 0.0000 0.0000
Pm2 0.0000 0.1635 0.5000
Pm3 0.0000 0.5000 0.5000
Pr1 0.2358 0.5000 0.2394
Pr2 0.2494 0.3282 0.7598
Hg1 0.0000 0.3325 0.0000

Formation energy from the elements in eV per atom: -0.06
Distance to the lowest polymorph of the same formula in meV per atom: 76

No. 5
LiFeBr2: optimized geometry, PBE.

a b c (Å): 3.5650 3.5650 6.9118
angles (deg): 90.00 90.00 90.00
Space group P4mm (No. 99)
Unique sites:
Li1 0.0000 0.0000 0.0000
Fe1 0.5000 0.5000 0.7312
Br1 0.0000 0.0000 0.6075
Br2 0.5000 0.5000 0.0971

Distance to the lowest polymorph of the same formula in meV per atom: 39

No. 6
CdTcOs2: optimized geometry, PBE.

a b c (Å): 2.7801 4.6811 10.0695
angles (deg): 90.00 90.00 90.00
Space group Imm2 (No. 44)
Unique sites:
Cd1 0.0000 0.0000 0.0000
Tc1 0.0000 0.5000 0.2096
Os1 0.0000 0.0000 0.4875
Os2 0.0000 0.5000 0.7724

Formation energy from the elements in eV per atom: 0.60

The records above yield mass density values of 4.7; 7.9; 12.5; 7.7; 4.2; 15.0 Mg/m³, respectively.
The records above yield DOS at the Fermi energy values of 0.00; 0.50; 0.99; 1.18; 0.63; 1.16 states/eV per atom, respectively.